1.
## Lu4AlPN2 (PBE)

Data for crystalline Lu4AlPN2 at its relaxed geometry.

POSCAR file:
```
Lu4AlPN2
1.0
3.479 0.000 0.000
-1.740 3.013 0.000
0.000 0.000 13.604
Al Lu N P
1 4 2 1
Cartesian
0.000 2.009 0.000
1.740 1.004 2.367
0.000 2.009 4.987
0.000 2.009 8.617
1.740 1.004 11.237
0.000 0.000 3.641
0.000 0.000 9.962
1.740 1.004 6.802
```

Total moment (μB/cell): 0.0
Space-group type: P-6m2, No. 187
E (eV/atom): -6.720

---

2.
## HfPaNO (PBE)

Data for crystalline HfPaNO at its relaxed geometry.

POSCAR file:
```
HfPaNO
1.0
4.508 0.000 0.000
0.000 4.508 0.000
0.000 0.000 5.772
Hf N O Pa
2 2 2 2
Cartesian
0.000 2.254 0.016
2.254 0.000 5.756
0.000 2.254 2.138
2.254 0.000 3.634
0.000 0.000 0.000
2.254 2.254 0.000
0.000 0.000 2.886
2.254 2.254 2.886
```

E above lowest polymorph (kJ per mole of atoms): 27.3
Total moment (μB/cell): 0.0
Space-group type: P4/nmm, No. 129
E (eV/atom): -9.308